Entry 1:
## Nd3In2Ag (PBE)

Data for Nd3In2Ag after structural relaxation. Values from VASP.

Results
Total DFT energy (no corrections), eV/atom: -4.188
Energy of formation from the pure elements, eV/atom: -0.416
Symmetry: P4/mmm

The structure in Quantum ESPRESSO input format:
```
&SYSTEM
  ibrav = 0, nat = 6, ntyp = 3
/
ATOMIC_SPECIES
Nd 144.24 Nd.upf
In 114.82 In.upf
Ag 107.87 Ag.upf
CELL_PARAMETERS angstrom
3.688 0.000 0.000
0.000 3.688 0.000
0.000 0.000 12.445
ATOMIC_POSITIONS angstrom
Nd 0.000 0.000 0.000
Nd 0.000 0.000 8.167
Nd 0.000 0.000 4.277
In 1.844 1.844 10.269
In 1.844 1.844 2.175
Ag 1.844 1.844 6.222
```

=====

Entry 2:
## Nd4InAg (PBE)

Data for Nd4InAg after structural relaxation. Values from VASP.

Results
Total DFT energy (no corrections), eV/atom: -4.178
Polymorph energy (0 for the lowest one), eV/f.u.: 0.895
Energy of formation from the pure elements, eV/atom: -0.068
Symmetry: Cmc2_1

The structure in Quantum ESPRESSO input format:
```
&SYSTEM
  ibrav = 0, nat = 12, ntyp = 3
/
ATOMIC_SPECIES
Nd 144.24 Nd.upf
In 114.82 In.upf
Ag 107.87 Ag.upf
CELL_PARAMETERS angstrom
-1.295 4.024 -3.755
3.820 -2.996 -4.528
-7.747 -7.769 -1.395
ATOMIC_POSITIONS angstrom
Nd -5.864 -3.284 -5.753
Nd 1.070 -3.793 -4.433
Nd -4.165 -7.593 -6.699
Nd -0.343 0.292 -3.825
Nd -2.143 -2.143 -5.814
Nd -4.552 -3.443 -2.119
Nd -3.782 -0.575 -3.568
Nd -2.755 -5.135 -4.552
In -3.384 -4.455 -7.863
In -1.323 -2.690 -2.425
Ag 1.188 -1.401 -6.168
Ag -5.784 -5.831 -4.252
```

=====

Entry 3:
## Nd2In3Ag (PBE)

Data for Nd2In3Ag after structural relaxation. Values from VASP.

Results
Total DFT energy (no corrections), eV/atom: -3.891
Polymorph energy (0 for the lowest one), eV/f.u.: 0.000
Energy of formation from the pure elements, eV/atom: -0.457
Symmetry: Pmm2

The structure in Quantum ESPRESSO input format:
```
&SYSTEM
  ibrav = 0, nat = 6, ntyp = 3
/
ATOMIC_SPECIES
Nd 144.24 Nd.upf
In 114.82 In.upf
Ag 107.87 Ag.upf
CELL_PARAMETERS angstrom
-0.992 -1.101 3.441
2.523 -4.204 -0.617
7.001 3.730 3.212
ATOMIC_POSITIONS angstrom
Nd 1.279 -2.093 -0.301
Nd 3.493 1.861 1.603
In 5.363 2.571 4.409
In 0.734 0.105 2.285
In 5.363 -0.203 3.522
Ag 3.070 -1.425 2.470
```